1.
The following is a PBE calculation of an optimized crystal structure of CsSrNiH6, from the Alexandria database.

The space group is P312 (No. 149) and the conventional cell measures 5.4699, 5.4699 and 6.2550 Å, with angles of 90.00, 90.00 and 120.00 degrees. Symmetry generates all atoms from Cs at (0.0000, 0.0000, 0.0000), Sr at (0.3333, 0.6667, 0.5000), Ni at (0.6667, 0.3333, 0.5000) and H at (0.4332, 0.1200, 0.6508).

The calculation puts the energy at -0.1222 hartree per atom. The volume comes out at 18.01 A^3/atom.

2.
The following is a PBE calculation of an optimized crystal structure of CsZnNiH6, from the Alexandria database.

The space group is P312 (No. 149) and the conventional cell measures 4.5671, 4.5671 and 6.2384 Å, with angles of 90.00, 90.00 and 120.00 degrees. Symmetry generates all atoms from Cs at (0.0000, 0.0000, 0.0000), Zn at (0.3333, 0.6667, 0.5000), Ni at (0.6667, 0.3333, 0.5000) and H at (0.4576, 0.0344, 0.6642).

The calculation puts the energy at -0.1168 hartree per atom. The volume comes out at 12.52 A^3/atom.

3.
The following is a PBE calculation of an optimized crystal structure of Cs2NpH4, from the Alexandria database.

The space group is I4/mmm (No. 139) and the conventional cell measures 4.5442, 4.5442 and 15.9204 Å, with angles of 90.00, 90.00 and 90.00 degrees. Symmetry generates all atoms from Cs at (0.0000, 0.0000, 0.1547), Np at (0.0000, 0.0000, 0.5000), H at (0.0000, 0.0000, 0.3547) and H at (0.0000, 0.5000, 0.0000).

The calculation puts the energy at -0.1446 hartree per atom. The volume comes out at 23.48 A^3/atom.

4.
The following is a PBE calculation of an optimized crystal structure of CsRb2NpH6, from the Alexandria database.

The space group is Immm (No. 71) and the conventional cell measures 7.1147, 7.1323 and 10.0738 Å, with angles of 90.00, 90.00 and 90.00 degrees. Symmetry generates all atoms from Cs at (0.0000, 0.0000, 0.0000), Rb at (0.0000, 0.5000, 0.2502), Np at (0.0000, 0.0000, 0.5000), H at (0.0000, 0.0000, 0.2803) and H at (0.2199, 0.2195, 0.5000).

The calculation puts the energy at -0.1294 hartree per atom. The volume comes out at 25.56 A^3/atom.

5.
The following is a PBE calculation of an optimized crystal structure of CsNpHS3, from the Alexandria database.

The space group is P2_1/m (No. 11) and the conventional cell measures 9.0420, 3.7487 and 9.8028 Å, with angles of 90.00, 100.23 and 90.00 degrees. Symmetry generates all atoms from Cs at (0.1638, 0.2500, 0.2778), Np at (0.3352, 0.7500, 0.8647), H at (0.2436, 0.2500, 0.6098), S at (0.1494, 0.2500, 0.9078), S at (0.2366, 0.7500, 0.5950) and S at (0.4527, 0.7500, 0.1403).

The calculation puts the energy at -0.2134 hartree per atom. The volume comes out at 27.25 A^3/atom.

6.
The following is a PBE calculation of an optimized crystal structure of Cs2NpH2Se4, from the Alexandria database.

The space group is C2/m (No. 12) and the conventional cell measures 18.8712, 3.8706 and 7.7699 Å, with angles of 90.00, 114.28 and 90.00 degrees. Symmetry generates all atoms from Cs at (0.1494, 0.0000, 0.1493), Np at (0.0000, 0.0000, 0.5000), H at (0.1660, 0.5000, 0.6651), Se at (0.9999, 0.5000, 0.2477) and Se at (0.1663, 0.0000, 0.6657).

The calculation puts the energy at -0.1700 hartree per atom. The volume comes out at 28.74 A^3/atom.

7.
The following is a PBE calculation of an optimized crystal structure of CsNpTe2H, from the Alexandria database.

The space group is P2_1/m (No. 11) and the conventional cell measures 8.3112, 4.4978 and 10.4067 Å, with angles of 90.00, 107.16 and 90.00 degrees. Symmetry generates all atoms from Cs at (0.1714, 0.2500, 0.3055), Np at (0.3288, 0.2500, 0.8299), Te at (0.2876, 0.7500, 0.0199), Te at (0.3235, 0.7500, 0.6360) and H at (0.0690, 0.2500, 0.7671).

The calculation puts the energy at -0.1928 hartree per atom. The volume comes out at 37.17 A^3/atom.

8.
The following is a PBE calculation of an optimized crystal structure of Cs2HO3, from the Alexandria database.

The space group is Fmmm (No. 69) and the conventional cell measures 8.6990, 9.0416 and 13.1722 Å, with angles of 90.00, 90.00 and 90.00 degrees. Symmetry generates all atoms from Cs at (0.2014, 0.0000, 0.0000), Cs at (0.2500, 0.2500, 0.2500), H at (0.0000, 0.0000, 0.2677), O at (0.0000, 0.0000, 0.1936) and O at (0.0000, 0.1312, 0.4486).

The calculation puts the energy at -0.1595 hartree per atom. The volume comes out at 21.58 A^3/atom.

9.
The following is a PBE calculation of an optimized crystal structure of CsH3O2, from the Alexandria database.

The space group is I4_1/amd (No. 141, origin choice 2) and the conventional cell measures 4.3861, 4.3861 and 14.3738 Å, with angles of 90.00, 90.00 and 90.00 degrees. Symmetry generates all atoms from Cs at (0.0000, 0.2500, 0.3750), H at (0.0000, 0.0000, 0.0000), H at (0.0000, 0.2500, 0.8750) and O at (0.0000, 0.2500, 0.7894).

The calculation puts the energy at -0.1701 hartree per atom. The volume comes out at 11.52 A^3/atom.

10.
The following is a PBE calculation of an optimized crystal structure of CsH2O, from the Alexandria database.

The space group is R-3m (No. 166, hexagonal axes) and the conventional cell measures 8.5033, 8.5033 and 14.1700 Å, with angles of 90.00, 90.00 and 120.00 degrees. Symmetry generates all atoms from Cs at (0.0000, 0.0000, 0.0000), Cs at (0.0000, 0.0000, 0.3188), H at (0.0000, 0.3816, 0.5000) and O at (0.0000, 0.5000, 0.5000).

Its polymorph energy (0 for the lowest one) is 0 meV/atom. The volume comes out at 24.65 A^3/atom.

11.
The following is a PBE calculation of an optimized crystal structure of Cs12H3O5, from the Alexandria database.

The space group is Ia-3d (No. 230) and the conventional cell measures 18.1766, 18.1766 and 18.1766 Å, with angles of 90.00, 90.00 and 90.00 degrees. Symmetry generates all atoms from Cs at (0.0269, 0.0555, 0.6520), H at (0.0000, 0.2500, 0.1250), O at (0.0000, 0.0000, 0.0000) and O at (0.0000, 0.2500, 0.3750).

The calculation puts the energy at -0.1084 hartree per atom. The volume comes out at 37.53 A^3/atom.

12.
The following is a PBE calculation of an optimized crystal structure of CsH4O2, from the Alexandria database.

The space group is P4_2/mnm (No. 136) and the conventional cell measures 8.4101, 8.4101 and 3.0093 Å, with angles of 90.00, 90.00 and 90.00 degrees. Symmetry generates all atoms from Cs at (0.0000, 0.0000, 0.0000), H at (0.2068, 0.2838, 0.0000) and O at (0.2395, 0.2395, 0.5000).

The calculation puts the energy at -0.1233 hartree per atom. The volume comes out at 15.20 A^3/atom.

Number 1: total moment 0.95 μB/f.u.. Number 2: total moment 0.00 μB/f.u.. Number 3: total moment 4.99 μB/f.u.. Number 4: total moment 4.00 μB/f.u.. Number 5: total moment 2.75 μB/f.u.. Number 6: total moment 2.49 μB/f.u.. Number 7: total moment 3.00 μB/f.u.. Number 8: total moment 0.00 μB/f.u.. Number 9: total moment 0.00 μB/f.u.. Number 10: total moment 0.00 μB/f.u.. Number 11: total moment 1.11 μB/f.u.. Number 12: total moment 0.52 μB/f.u..